[1]
Below is an optimized crystal structure of Li2AlSbH, with properties calculated at the GGA-PBE level.

The energy is -16.43 eV for the cell shown. Its mass density is 3.59 Mg/m³. Its volume is 76 Å³/cell. The total moment is 0.00 μB per cell.

The structure in extended XYZ format:
```
5
Lattice="4.139 0.000 0.000 0.000 4.139 0.000 0.000 0.000 4.418" Properties=species:S:1:pos:R:3 pbc="T T T"
Li 0.000 2.070 0.000
Li 2.070 0.000 0.000
Al 0.000 0.000 2.209
Sb 2.070 2.070 2.209
H 0.000 0.000 0.000
```

[2]
Below is an optimized crystal structure of Li2ScAlH, with properties calculated at the GGA-PBE level.

The energy is -18.50 eV for the cell shown. Its mass density is 1.95 Mg/m³. Its volume is 74 Å³/cell. The total moment is 0.00 μB per cell.

The structure in extended XYZ format:
```
5
Lattice="4.033 0.000 0.000 0.000 4.033 0.000 0.000 0.000 4.551" Properties=species:S:1:pos:R:3 pbc="T T T"
Li 0.000 2.016 0.000
Li 2.016 0.000 0.000
Sc 0.000 0.000 2.276
Al 2.016 2.016 2.276
H 0.000 0.000 0.000
```

[3]
Below is an optimized crystal structure of Li2ScAlH8, with properties calculated at the GGA-PBE level.

The energy is -43.33 eV for the cell shown. Its mass density is 1.45 Mg/m³. Its volume is 108 Å³/cell. The total moment is 0.00 μB per cell.

The structure in extended XYZ format:
```
12
Lattice="4.186 0.000 0.000 0.000 5.934 0.000 -0.054 0.000 4.338" Properties=species:S:1:pos:R:3 pbc="T T T"
Li 0.000 1.411 0.000
Li 0.000 4.523 0.000
Sc 2.066 2.967 2.169
Al 2.066 0.000 2.169
H 0.611 2.967 3.455
H 0.808 0.000 3.318
H 1.328 1.343 1.300
H 1.328 4.591 1.300
H 2.805 1.343 3.038
H 2.805 4.591 3.038
H 3.324 0.000 1.020
H 3.522 2.967 0.883
```

[4]
Below is an optimized crystal structure of Li2AlSiH, with properties calculated at the GGA-PBE level.

The energy is -17.18 eV for the cell shown. Its mass density is 1.91 Mg/m³. Its volume is 61 Å³/cell. The total moment is 0.00 μB per cell.

The structure in extended XYZ format:
```
5
Lattice="3.780 0.000 0.000 0.000 3.780 0.000 0.000 0.000 4.254" Properties=species:S:1:pos:R:3 pbc="T T T"
Li 0.000 1.890 0.000
Li 1.890 0.000 0.000
Al 0.000 0.000 2.127
Si 1.890 1.890 2.127
H 0.000 0.000 0.000
```

[5]
Below is an optimized crystal structure of Sr2LiAlH, with properties calculated at the GGA-PBE level.

As for the relative energy among the computed polymorphs: 0.124 eV/atom. Its mass density is 2.76 Mg/m³. Its volume is 126 Å³/cell. The total moment is 0.00 μB per cell.

The structure in extended XYZ format:
```
5
Lattice="5.501 0.000 0.000 0.000 5.501 0.000 0.000 0.000 4.177" Properties=species:S:1:pos:R:3 pbc="T T T"
Sr 0.000 2.751 0.000
Sr 2.751 0.000 0.000
Li 0.000 0.000 2.089
Al 2.751 2.751 2.089
H 2.751 2.751 0.000
```

[6]
Below is an optimized crystal structure of SrLi2AlH8, with properties calculated at the GGA-PBE level.

The energy is -38.60 eV for the cell shown. Its mass density is 1.87 Mg/m³. Its volume is 121 Å³/cell. The total moment is 0.00 μB per cell.

The structure in extended XYZ format:
```
12
Lattice="4.410 0.000 0.000 1.161 4.752 0.000 1.750 0.056 5.775" Properties=species:S:1:pos:R:3 pbc="T T T"
Sr 0.000 0.000 0.000
Li 2.595 2.685 2.127
Li 4.726 2.123 3.648
Al 3.080 0.028 2.887
H 1.882 1.160 3.449
H 3.404 3.479 3.699
H 2.382 2.237 0.040
H 3.394 4.393 1.372
H 3.927 0.415 4.402
H 4.939 2.571 5.735
H 3.916 1.329 2.076
H 5.439 3.648 2.325
```

[7]
Below is an optimized crystal structure of Sr2LiAlH, with properties calculated at the GGA-PBE level.

As for the relative energy among the computed polymorphs: 0.642 eV/atom. Its mass density is 2.14 Mg/m³. Its volume is 163 Å³/cell. The total moment is 0.00 μB per cell.

The structure in extended XYZ format:
```
5
Lattice="5.995 0.000 0.000 0.000 5.995 0.000 0.000 0.000 4.543" Properties=species:S:1:pos:R:3 pbc="T T T"
Sr 0.000 2.997 0.000
Sr 2.997 0.000 0.000
Li 0.000 0.000 0.000
Al 0.000 0.000 2.271
H 2.997 2.997 2.271
```

[8]
Below is an optimized crystal structure of Sr2LiAlH, with properties calculated at the GGA-PBE level.

As for the relative energy among the computed polymorphs: 0.000 eV/atom. Its mass density is 2.83 Mg/m³. Its volume is 123 Å³/cell. The total moment is 0.00 μB per cell.

The structure in extended XYZ format:
```
5
Lattice="5.459 0.000 0.000 0.000 5.459 0.000 0.000 0.000 4.137" Properties=species:S:1:pos:R:3 pbc="T T T"
Sr 0.000 2.730 0.000
Sr 2.730 0.000 0.000
Li 0.000 0.000 2.069
Al 2.730 2.730 2.069
H 0.000 0.000 0.000
```